[1]
5
Lattice="4.850 0.000 0.000 0.000 4.850 0.000 0.000 0.000 4.850" Properties=species:S:1:pos:R:3 comment="PBE Ge3PtC, relaxed" de_polymorph_kj_per_mol_fu=367 pbc="T T T"
Ge 0.000 0.000 2.425
Ge 0.000 2.425 0.000
Ge 2.425 0.000 0.000
Pt 0.000 0.000 0.000
C 2.425 2.425 2.425

=====

[2]
5
Lattice="4.258 0.000 0.000 0.000 4.258 0.000 0.000 0.000 4.258" Properties=species:S:1:pos:R:3 comment="PBE Ge3PtC, relaxed" de_polymorph_kj_per_mol_fu=0 pbc="T T T"
Ge 0.000 0.000 2.129
Ge 0.000 2.129 0.000
Ge 2.129 0.000 0.000
Pt 2.129 2.129 2.129
C 0.000 0.000 0.000

=====

[3]
5
Lattice="4.060 0.000 0.000 0.000 4.060 0.000 0.000 0.000 4.060" Properties=species:S:1:pos:R:3 comment="PBE GePtC3, relaxed" de_polymorph_kj_per_mol_fu=0 pbc="T T T"
Ge 0.000 0.000 0.000
Pt 2.030 2.030 2.030
C 0.000 2.030 2.030
C 2.030 0.000 2.030
C 2.030 2.030 0.000

=====

[4]
16
Lattice="5.499 0.000 0.000 0.000 5.499 0.000 0.000 0.000 8.422" Properties=species:S:1:pos:R:3 comment="PBE Ge2PtC, relaxed" dft_energy_ev_per_atom=-5.86 pbc="T T T"
Ge 0.996 1.375 1.053
Ge 1.375 3.745 3.158
Ge 1.375 4.503 7.369
Ge 1.754 1.375 5.264
Ge 3.745 4.124 5.264
Ge 4.124 0.996 7.369
Ge 4.124 1.754 3.158
Ge 4.503 4.124 1.053
Pt 0.000 0.000 4.211
Pt 0.000 2.750 6.316
Pt 2.750 0.000 2.105
Pt 2.750 2.750 0.000
C 0.000 0.000 0.000
C 0.000 2.750 2.105
C 2.750 0.000 6.316
C 2.750 2.750 4.211

=====

[5]
5
Lattice="3.839 0.000 0.000 0.000 3.839 0.000 0.000 0.000 5.558" Properties=species:S:1:pos:R:3 comment="PBE GeRuPtC2, relaxed" dft_energy_ev_per_atom=-5.81 pbc="T T T"
Ge 0.000 0.000 0.000
Ru 1.919 1.919 0.000
Pt 0.000 0.000 2.779
C 0.000 1.919 2.779
C 1.919 0.000 2.779

=====

[6]
5
Lattice="4.673 0.000 0.000 0.000 4.673 0.000 0.000 0.000 3.646" Properties=species:S:1:pos:R:3 comment="PBE GeRu2PtC, relaxed" dft_energy_ev_per_atom=-5.91 pbc="T T T"
Ge 0.000 0.000 0.000
Ru 0.000 2.336 0.000
Ru 2.336 0.000 0.000
Pt 2.336 2.336 1.823
C 0.000 0.000 1.823

=====

Number 1: total magnetization 0.66 Bohr magnetons per cell. Number 2: total magnetization 0.00 Bohr magnetons per cell. Number 3: total magnetization 0.00 Bohr magnetons per cell. Number 4: total magnetization 0.00 Bohr magnetons per cell. Number 5: total magnetization 1.09 Bohr magnetons per cell. Number 6: total magnetization 0.53 Bohr magnetons per cell.